1.
Density functional theory data (PBE) for an optimized crystal structure of Rb2CaZr.

a = 5.1527 Å, b = 5.1527 Å, c = 29.1036 Å
α = 90.00°, β = 90.00°, γ = 90.00°
With the nearest neighbours (Å) after each atom.
Space group I-42d (No. 122)
Symmetry-distinct sites (fractional):
Rb 0.2442 0.2500 0.1250 [8 per cell]  4 Rb 3.60-3.69
Ca 0.0000 0.0000 0.5000 [4 per cell]  4 Zr 3.64, 4 Rb 4.08
Zr 0.0000 0.0000 0.0000 [4 per cell]  4 Ca 3.64, 4 Rb 4.06

- DOS(E_F): 2.836 states/eV/f.u.
- Energy relative to the elements: 0.992 eV/atom
- Energy relative to the lowest polymorph listed for this composition: 0 meV per atom
- Total DFT energy (no corrections): -2.130 eV/atom
- V: 48.29 A^3/atom

2.
Density functional theory data (PBE) for an optimized crystal structure of Rb2PuHgI6.

a = 8.9035 Å, b = 8.9035 Å, c = 21.8598 Å
α = 90.00°, β = 90.00°, γ = 120.00°
With the nearest neighbours (Å) after each atom.
Space group R3 (No. 146, hexagonal axes)
Symmetry-distinct sites (fractional):
Rb 0.0000 0.0000 0.0000 [3 per cell]  6 I 3.74-3.83
Rb 0.0000 0.0000 0.4861 [3 per cell]  6 I 3.73-3.86
Pu 0.0000 0.0000 0.7037 [3 per cell]  6 I 3.06
Hg 0.0000 0.0000 0.2088 [3 per cell]  6 I 3.42-3.51
I 0.0230 0.4206 0.4493 [9 per cell]  1 Pu 3.06
I 0.0864 0.7213 0.2884 [9 per cell]  1 Pu 3.06, 1 Hg 3.42

- DOS(E_F): 13.431 states/eV/f.u.
- Total DFT energy (no corrections): -3.618 eV/atom
- V: 50.02 A^3/atom

3.
Density functional theory data (PBE) for an optimized crystal structure of PuCuPd.

a = 5.1790 Å, b = 5.5387 Å, c = 7.5470 Å
α = 90.00°, β = 90.00°, γ = 90.00°
With the nearest neighbours (Å) after each atom.
Space group Imma (No. 74)
Symmetry-distinct sites (fractional):
Pu 0.0000 0.2500 0.1272 [4 per cell]  6 Pd 3.09-3.14, 6 Cu 3.13-3.19, 4 Pu 3.18-3.37
Cu 0.2500 0.2500 0.7500 [4 per cell]  2 Cu 2.59, 4 Pd 2.67
Pd 0.0000 0.0000 0.5000 [4 per cell]  4 Cu 2.67, 2 Pd 2.77

- DOS(E_F): 8.058 states/eV/f.u.
- Energy relative to the elements: -0.345 eV/atom
- Energy relative to the lowest polymorph listed for this composition: 0 meV per atom
- Total DFT energy (no corrections): -8.219 eV/atom
- V: 18.04 A^3/atom

4.
Density functional theory data (PBE) for an optimized crystal structure of LiMg2Zn.

a = 3.3379 Å, b = 4.6853 Å, c = 9.5430 Å
α = 90.00°, β = 90.00°, γ = 90.00°
With the nearest neighbours (Å) after each atom.
Space group Imm2 (No. 44)
Symmetry-distinct sites (fractional):
Li 0.0000 0.0000 0.0000 [2 per cell]  2 Zn 2.67, 4 Mg 2.90
Mg 0.0000 0.0000 0.5380 [2 per cell]  2 Zn 2.86, 4 Li 2.90, 4 Mg 3.10-3.19
Mg 0.0000 0.5000 0.7641 [2 per cell]  4 Zn 2.88, 2 Li 3.02, 4 Mg 3.10-3.19
Zn 0.0000 0.5000 0.2815 [2 per cell]  2 Li 2.67, 6 Mg 2.86-2.88

- DOS(E_F): 1.140 states/eV/f.u.
- Energy relative to the elements: -0.092 eV/atom
- Total DFT energy (no corrections): -1.686 eV/atom
- V: 18.66 A^3/atom

5.
Density functional theory data (PBE) for an optimized crystal structure of YHfZr2.

a = 8.0390 Å, b = 8.0390 Å, c = 6.3001 Å
α = 90.00°, β = 90.00°, γ = 90.00°
With the nearest neighbours (Å) after each atom.
Space group I-42d (No. 122)
Symmetry-distinct sites (fractional):
Y 0.0000 0.0000 0.0000 [4 per cell]  4 Zr 3.01, 2 Hf 3.15
Hf 0.0000 0.0000 0.5000 [4 per cell]  4 Zr 2.89, 2 Y 3.15
Zr 0.2382 0.2500 0.6250 [8 per cell]  2 Hf 2.89, 2 Y 3.01, 2 Zr 3.16

- DOS(E_F): 9.670 states/eV/f.u.
- Energy relative to the elements: 0.626 eV/atom
- Energy relative to the lowest polymorph listed for this composition: 529 meV per atom
- Total DFT energy (no corrections): -7.753 eV/atom
- V: 25.45 A^3/atom

6.
Density functional theory data (PBE) for an optimized crystal structure of Hf2CoTc.

a = 3.2303 Å, b = 3.2303 Å, c = 6.3311 Å
α = 90.00°, β = 90.00°, γ = 90.00°
With the nearest neighbours (Å) after each atom.
Space group P4/mmm (No. 123)
Symmetry-distinct sites (fractional):
Hf 0.0000 0.0000 0.2473 [2 per cell]  4 Co 2.77, 4 Tc 2.79
Co 0.5000 0.5000 0.0000 [1 per cell]  8 Hf 2.77
Tc 0.5000 0.5000 0.5000 [1 per cell]  8 Hf 2.79

- DOS(E_F): 1.671 states/eV/f.u.
- Energy relative to the elements: -0.501 eV/atom
- Energy relative to the lowest polymorph listed for this composition: 0 meV per atom
- Total DFT energy (no corrections): -9.846 eV/atom
- V: 16.52 A^3/atom

7.
Density functional theory data (PBE) for an optimized crystal structure of Pr6GePt2Br3.

a = 7.4711 Å, b = 12.9204 Å, c = 7.9573 Å
α = 90.00°, β = 108.26°, γ = 90.00°
With the nearest neighbours (Å) after each atom.
Space group C2/m (No. 12)
Symmetry-distinct sites (fractional):
Pr 0.2269 0.0000 0.2060 [4 per cell]  2 Pt 2.91, 1 Ge 2.99
Pr 0.2413 0.3290 0.2067 [8 per cell]  2 Pt 2.90-2.91, 1 Ge 3.00
Ge 0.0000 0.5000 0.0000 [2 per cell]  6 Pr 2.99-3.00
Pt 0.0000 0.1673 0.0000 [4 per cell]  6 Pr 2.90-2.91
Br 0.0000 0.0000 0.5000 [2 per cell]  6 Pr 3.29-3.35
Br 0.0000 0.3407 0.5000 [4 per cell]  6 Pr 3.30-3.37

- DOS(E_F): 10.028 states/eV/f.u.
- Total DFT energy (no corrections): -5.364 eV/atom
- V: 30.39 A^3/atom

8.
Density functional theory data (PBE) for an optimized crystal structure of Zn2CuSi.

a = 6.1582 Å, b = 6.1582 Å, c = 6.1582 Å
α = 90.00°, β = 90.00°, γ = 90.00°
With the nearest neighbours (Å) after each atom.
Space group F-43m (No. 216)
Symmetry-distinct sites (fractional):
Zn 0.0000 0.0000 0.0000 [4 per cell]  4 Si 2.67, 4 Zn 2.67
Zn 0.2500 0.2500 0.2500 [4 per cell]  4 Cu 2.67, 4 Zn 2.67
Cu 0.0000 0.0000 0.5000 [4 per cell]  4 Si 2.67, 4 Zn 2.67
Si 0.2500 0.2500 0.7500 [4 per cell]  4 Cu 2.67, 4 Zn 2.67

- DOS(E_F): 2.056 states/eV/f.u.
- Total DFT energy (no corrections): -2.789 eV/atom
- V: 14.60 A^3/atom

9.
Density functional theory data (PBE) for an optimized crystal structure of Sc2TlCl.

a = 3.4802 Å, b = 4.6113 Å, c = 5.7623 Å
α = 90.00°, β = 90.00°, γ = 90.00°
With the nearest neighbours (Å) after each atom.
Space group Pmm2 (No. 25)
Symmetry-distinct sites (fractional):
Sc 0.0000 0.0000 0.0000 [1 per cell]  2 Tl 2.88, 4 Cl 2.89
Sc 0.5000 0.5000 0.4530 [1 per cell]  1 Cl 2.65, 4 Tl 2.90
Tl 0.0000 0.0000 0.5001 [1 per cell]  6 Sc 2.88-2.90
Cl 0.5000 0.5000 0.9934 [1 per cell]  5 Sc 2.65-2.89

- DOS(E_F): 2.026 states/eV/f.u.
- Energy relative to the lowest polymorph listed for this composition: 73 meV per atom
- Total DFT energy (no corrections): -4.836 eV/atom
- V: 23.12 A^3/atom

10.
Density functional theory data (PBE) for an optimized crystal structure of MnNb5S8.

a = 10.3539 Å, b = 10.3539 Å, c = 10.3539 Å
α = 90.00°, β = 90.00°, γ = 90.00°
With the nearest neighbours (Å) after each atom.
Space group F-43m (No. 216)
Symmetry-distinct sites (fractional):
Mn 0.0000 0.0000 0.0000 [4 per cell]  4 S 2.22
Nb 0.1451 0.1451 0.6451 [16 per cell]  3 S 2.42
Nb 0.2500 0.2500 0.2500 [4 per cell]  4 S 2.42
S 0.1153 0.1153 0.3847 [16 per cell]  1 Nb 2.42
S 0.1236 0.1236 0.8764 [16 per cell]  1 Mn 2.22, 3 Nb 2.42

- DOS(E_F): 10.325 states/eV/f.u.
- Total DFT energy (no corrections): -7.420 eV/atom
- V: 19.82 A^3/atom

11.
Density functional theory data (PBE) for an optimized crystal structure of Co2IrN.

a = 2.6872 Å, b = 2.6872 Å, c = 21.5870 Å
α = 90.00°, β = 90.00°, γ = 120.00°
With the nearest neighbours (Å) after each atom.
Space group R-3m (No. 166, hexagonal axes)
Symmetry-distinct sites (fractional):
Co 0.0000 0.0000 0.1155 [6 per cell]  3 N 1.90
Ir 0.0000 0.0000 0.0000 [3 per cell]  2 Co 2.49, 6 Ir 2.69
N 0.0000 0.0000 0.5000 [3 per cell]  6 Co 1.90

- DOS(E_F): 5.277 states/eV/f.u.
- Total DFT energy (no corrections): -7.416 eV/atom
- V: 11.25 A^3/atom

12.
Density functional theory data (PBE) for an optimized crystal structure of BaY2Mo.

a = 3.5764 Å, b = 3.5764 Å, c = 9.9503 Å
α = 90.00°, β = 90.00°, γ = 90.00°
With the nearest neighbours (Å) after each atom.
Space group P4/mmm (No. 123)
Symmetry-distinct sites (fractional):
Ba 0.0000 0.0000 0.0000 [1 per cell]  4 Ba 3.58
Y 0.5000 0.5000 0.3310 [2 per cell]  4 Mo 3.04, 1 Y 3.36
Mo 0.0000 0.0000 0.5000 [1 per cell]  8 Y 3.04

- DOS(E_F): 6.067 states/eV/f.u.
- Energy relative to the elements: 0.341 eV/atom
- Energy relative to the lowest polymorph listed for this composition: 0 meV per atom
- Total DFT energy (no corrections): -6.080 eV/atom
- V: 31.82 A^3/atom

Which value of total DFT energy (no corrections) does entry 7 give? -5.364 eV/atom

What is the total DFT energy (no corrections) in the eighth record? -2.789 eV/atom

Which value of total DFT energy (no corrections) does entry 12 give? -6.080 eV/atom

What is the total DFT energy (no corrections) in the fourth record? -1.686 eV/atom